Crystalline CuPbSe2 at its relaxed geometry, computed with PBE.

Lattice parameters (Å, degrees): 4.6189 4.2755 6.7771 49.96 90.00 90.00
Positions (direct):
Pb 0.5000 0.5332 0.8788
Se 0.0000 0.0526 0.8727
Se 0.5000 0.3865 0.3746
Cu 0.0000 0.5277 0.3740

Output
- Energy relative to the elements, uncorrected: -0.79 eV per formula unit
- Energy: -15.56 eV for the cell shown
- Density: 6.95 g/cm³
- SG: Pm

Crystalline LuTcH3 at its relaxed geometry, computed with PBE.

Lattice parameters (Å, degrees): 3.6033 3.6033 3.6033 90.00 90.00 90.00
Positions (direct):
H 0.0000 0.5000 0.0000
H 0.5000 0.0000 0.0000
H 0.0000 0.0000 0.5000
Tc 0.0000 0.0000 0.0000
Lu 0.5000 0.5000 0.5000

Output
- Energy: -26.77 eV for the cell shown
- Density: 9.80 g/cm³
- SG: Pm-3m

Crystalline Ca5Cd2In at its relaxed geometry, computed with PBE.

Lattice parameters (Å, degrees): 8.2568 8.2568 9.6128 115.43 115.43 90.00
Positions (direct):
Ca 0.0200 0.5200 0.7008
Ca 0.1808 0.0200 0.7008
Ca 0.4800 0.3192 0.2992
Ca 0.3192 0.8192 0.2992
Ca 0.5000 0.5000 0.0000
Ca 0.6808 0.1808 0.7008
Ca 0.0000 0.0000 0.0000
Ca 0.5200 0.6808 0.7008
Ca 0.8192 0.9800 0.2992
Ca 0.9800 0.4800 0.2992
In 0.7500 0.7500 0.5000
In 0.2500 0.2500 0.5000
Cd 0.3746 0.8746 0.0000
Cd 0.1254 0.3746 0.0000
Cd 0.6254 0.1254 0.0000
Cd 0.8746 0.6254 0.0000

Output
- Energy of formation: -2.5 eV per formula unit
- Energy: -34.12 eV for the cell shown
- Density: 3.44 g/cm³
- SG: I4/mcm

Crystalline In2SiBr at its relaxed geometry, computed with PBE.

Lattice parameters (Å, degrees): 5.7318 5.7318 3.3841 75.99 75.99 89.83
Positions (direct):
Si 0.5000 0.0000 0.5000
In 0.0000 0.0000 0.0000
In 0.5000 0.5000 0.0000
Br 0.0000 0.5000 0.5000

Output
- Energy relative to the lowest polymorph listed for this composition: 143 meV per atom
- Energy relative to the elements, uncorrected: 0.38 eV per formula unit
- Energy: -12.19 eV for the cell shown
- Density: 5.37 g/cm³
- SG: C2/m

Crystalline Rb2Cu2HgCl6 at its relaxed geometry, computed with PBE.

Lattice parameters (Å, degrees): 7.3821 7.4412 7.6458 115.60 90.00 119.74
Positions (direct):
Cu 0.0514 0.1027 0.2063
Cu 0.9486 0.8973 0.7937
Cl 0.2071 0.9096 0.2046
Cl 0.2492 0.4984 0.3352
Cl 0.7508 0.5016 0.6648
Cl 0.7025 0.9096 0.2046
Cl 0.7929 0.0904 0.7954
Cl 0.2975 0.0904 0.7954
Rb 0.7265 0.4530 0.2081
Rb 0.2735 0.5470 0.7919
Hg 0.5000 0.0000 0.5000

Output
- Energy relative to the elements, uncorrected: -11.39 eV per formula unit
- Energy: -32.90 eV for the cell shown
- Density: 3.73 g/cm³
- SG: C2/m

Crystalline CdOs2Cl at its relaxed geometry, computed with PBE.

Lattice parameters (Å, degrees): 5.6543 5.6543 4.4454 88.86 88.86 29.11
Positions (direct):
Cl 0.2500 0.2500 0.2500
Os 0.4656 0.4656 0.5174
Os 0.0344 0.0344 0.9826
Cd 0.7500 0.7500 0.7500

Output
- Energy relative to the lowest polymorph listed for this composition: 572 meV per atom
- Energy relative to the elements, uncorrected: 3.25 eV per formula unit
- Energy: -21.97 eV for the cell shown
- Density: 12.69 g/cm³
- SG: C2/m

Crystalline RbMgPb at its relaxed geometry, computed with PBE.

Lattice parameters (Å, degrees): 5.2573 5.2601 8.4308 93.38 93.76 98.23
Positions (direct):
Rb 0.2398 0.7406 0.8573
Rb 0.7602 0.2594 0.1427
Mg 0.7988 0.6995 0.4994
Mg 0.2012 0.3005 0.5006
Pb 0.3113 0.8139 0.3377
Pb 0.6887 0.1861 0.6623

Output
- Energy relative to the lowest polymorph listed for this composition: 1 meV per atom
- Energy of formation: -0.4 eV per formula unit
- Energy: -13.31 eV for the cell shown
- Density: 4.58 g/cm³
- SG: P-1

Crystalline YBe2Ni at its relaxed geometry, computed with PBE.

Lattice parameters (Å, degrees): 3.8229 3.0796 5.1904 76.85 90.00 90.00
Positions (direct):
Be 0.0000 0.0741 0.0900
Be 0.0000 0.4259 0.4100
Y 0.5000 0.7500 0.7500
Ni 0.5000 0.2500 0.2500

Output
- Energy relative to the lowest polymorph listed for this composition: 349 meV per atom
- Energy of formation: 0.3 eV per formula unit
- Energy: -19.40 eV for the cell shown
- Density: 4.62 g/cm³
- SG: P2/m

Crystalline Er4Th2Sc3 at its relaxed geometry, computed with PBE.

Lattice parameters (Å, degrees): 4.8581 7.7613 7.6824 107.57 108.43 90.00
Positions (direct):
Er 0.4465 0.6651 0.8930
Er 0.7772 0.6702 0.5543
Er 0.2228 0.3298 0.4457
Er 0.5535 0.3349 0.1070
Sc 0.0000 0.0000 0.0000
Sc 0.1110 0.6779 0.2220
Sc 0.8890 0.3221 0.7780
Th 0.3350 0.9995 0.6700
Th 0.6650 0.0005 0.3300

Output
- Energy relative to the lowest polymorph listed for this composition: 0 meV per atom
- Energy of formation: 0.4 eV per formula unit
- Energy: -51.73 eV for the cell shown
- Density: 8.08 g/cm³
- SG: C2/m

Crystalline Be3Cu7 at its relaxed geometry, computed with PBE.

Lattice parameters (Å, degrees): 5.0661 7.0493 7.0493 120.00 90.00 90.00
Positions (direct):
Be 0.8528 0.2163 0.4325
Be 0.3528 0.7837 0.5675
Be 0.8528 0.2163 0.7837
Be 0.8528 0.5675 0.7837
Be 0.3528 0.4325 0.2163
Be 0.3528 0.7837 0.2163
Cu 0.1668 0.4707 0.9414
Cu 0.6668 0.5293 0.4707
Cu 0.9462 0.8789 0.7578
Cu 0.1668 0.4707 0.5293
Cu 0.4462 0.1211 0.2422
Cu 0.6668 0.5293 0.0586
Cu 0.0105 0.6667 0.3333
Cu 0.5105 0.3333 0.6667
Cu 0.4462 0.7578 0.8789
Cu 0.9462 0.8789 0.1211
Cu 0.9462 0.2422 0.1211
Cu 0.4462 0.1211 0.8789
Cu 0.6668 0.9414 0.4707
Cu 0.1668 0.0586 0.5293

Output
- Energy relative to the lowest polymorph listed for this composition: 56 meV per atom
- Energy of formation: 0.3 eV per formula unit
- Energy: -79.17 eV for the cell shown
- Density: 7.19 g/cm³
- SG: P6_3mc

Crystalline TbCo4Ni8 at its relaxed geometry, computed with PBE.

Lattice parameters (Å, degrees): 4.6634 6.2858 6.2858 82.09 68.23 68.23
Positions (direct):
Ni 0.2783 0.2217 0.2217
Ni 0.5000 0.2217 0.7783
Ni 0.0000 0.3554 0.6446
Ni 0.3554 0.6446 0.6446
Ni 0.6446 0.3554 0.3554
Ni 0.5000 0.7783 0.2217
Ni 0.0000 0.6446 0.3554
Ni 0.7217 0.7783 0.7783
Co 0.5000 0.5000 0.0000
Co 0.0000 0.0000 0.5000
Co 0.0000 0.5000 0.0000
Co 0.5000 0.0000 0.5000
Tb 0.0000 0.0000 0.0000

Output
- Energy of formation: -1.0 eV per formula unit
- Energy: -80.35 eV for the cell shown
- Density: 9.03 g/cm³
- SG: I4/mmm

Crystalline Ba2InHg6Au at its relaxed geometry, computed with PBE.

Lattice parameters (Å, degrees): 7.8393 7.8393 7.8394 60.00 60.00 90.00
Positions (direct):
Hg 0.7460 0.7460 0.5080
Hg 0.7460 0.2540 0.0000
Hg 0.2540 0.2540 0.0000
Hg 0.7460 0.7460 0.0000
Hg 0.2540 0.7460 0.0000
Hg 0.2540 0.2540 0.4920
Ba 0.7500 0.2500 0.5000
Ba 0.2500 0.7500 0.5000
In 0.0000 0.0000 0.0000
Au 0.5000 0.5000 0.0000

Output
- Energy of formation: -2.0 eV per formula unit
- Energy: -13.66 eV for the cell shown
- Density: 8.73 g/cm³
- SG: Fm-3m